# PmNd2Ge

A geometry-optimized PmNd2Ge structure (PBE, the Alexandria database).

Computed properties:
ΔE to the lowest computed polymorph: 125 meV per atom
total moment: 0.0 μB per cell
formation energy: -117 kJ/mol of formula units
DFT total energy: -20.119 eV/cell

Lattice parameters (Å, degrees): 4.023 4.023 7.192 90.00 90.00 90.00
Positions (direct):
Pm 0.000 0.000 0.000
Nd 0.500 0.500 0.293
Nd 0.500 0.500 0.707
Ge 0.000 0.000 0.500